Computed, not measured: a relaxed structure of EuTmAu at the PBE level of DFT.

Properties
Offset from the most stable computed form: 137 meV/atom

Unit cell a=7.1412 b=7.1412 c=7.1412 alpha=90.00 beta=90.00 gamma=90.00
Space group F-43m (No. 216)
Asymmetric unit:
Eu  0.0000  0.0000  0.0000 (multiplicity 4)
Tm  0.0000  0.0000  0.5000 (multiplicity 4)
Au  0.2500  0.2500  0.2500 (multiplicity 4)

***

Computed, not measured: a relaxed structure of EuTmAu at the PBE level of DFT.

Properties
Offset from the most stable computed form: 0 meV/atom

Unit cell a=3.6625 b=3.6625 c=12.8510 alpha=90.00 beta=90.00 gamma=90.00
Space group I4mm (No. 107)
Asymmetric unit:
Eu  0.0000  0.0000  0.0000 (multiplicity 2)
Tm  0.0000  0.0000  0.2740 (multiplicity 2)
Au  0.0000  0.0000  0.6639 (multiplicity 2)

***

Computed, not measured: a relaxed structure of EuTmAu at the PBE level of DFT.

Properties
Offset from the most stable computed form: 148 meV/atom

Unit cell a=4.9347 b=4.9347 c=4.1202 alpha=90.00 beta=90.00 gamma=120.00
Space group P3m1 (No. 156)
Asymmetric unit:
Eu  0.0000  0.0000  0.0000 (multiplicity 1)
Tm  0.6667  0.3333  0.5072 (multiplicity 1)
Au  0.3333  0.6667  0.4460 (multiplicity 1)

***

Computed, not measured: a relaxed structure of Eu2TmAu at the PBE level of DFT.

Properties
Offset from the most stable computed form: 275 meV/atom

Unit cell a=3.7050 b=3.7050 c=33.8075 alpha=90.00 beta=90.00 gamma=120.00
Space group R-3m (No. 166, hexagonal axes)
Asymmetric unit:
Eu  0.0000  0.0000  0.1016 (multiplicity 6)
Tm  0.0000  0.0000  0.0000 (multiplicity 3)
Au  0.0000  0.0000  0.5000 (multiplicity 3)

***

Computed, not measured: a relaxed structure of Eu2TmAu at the PBE level of DFT.

Properties
Offset from the most stable computed form: 0 meV/atom

Unit cell a=3.7393 b=3.7393 c=8.8858 alpha=90.00 beta=90.00 gamma=90.00
Space group P4/mmm (No. 123)
Asymmetric unit:
Eu  0.0000  0.0000  0.2037 (multiplicity 2)
Tm  0.5000  0.5000  0.5000 (multiplicity 1)
Au  0.5000  0.5000  0.0000 (multiplicity 1)

***

Computed, not measured: a relaxed structure of EuTmZnAu at the PBE level of DFT.

Unit cell a=7.2655 b=7.2655 c=7.2655 alpha=90.00 beta=90.00 gamma=90.00
Space group F-43m (No. 216)
Asymmetric unit:
Eu  0.0000  0.0000  0.0000 (multiplicity 4)
Tm  0.0000  0.0000  0.5000 (multiplicity 4)
Zn  0.2500  0.2500  0.2500 (multiplicity 4)
Au  0.2500  0.2500  0.7500 (multiplicity 4)

***

Computed, not measured: a relaxed structure of EuUAu4 at the PBE level of DFT.

Unit cell a=8.0772 b=8.0772 c=8.0772 alpha=90.00 beta=90.00 gamma=90.00
Space group F-43m (No. 216)
Asymmetric unit:
Eu  0.0000  0.0000  0.0000 (multiplicity 4)
U  0.2500  0.2500  0.7500 (multiplicity 4)
Au  0.1250  0.1250  0.3750 (multiplicity 16)

***

Computed, not measured: a relaxed structure of EuYAu2 at the PBE level of DFT.

Properties
Offset from the most stable computed form: 41 meV/atom

Unit cell a=7.3272 b=7.3272 c=7.3272 alpha=90.00 beta=90.00 gamma=90.00
Space group Fm-3m (No. 225)
Asymmetric unit:
Eu  0.0000  0.0000  0.0000 (multiplicity 4)
Y  0.0000  0.0000  0.5000 (multiplicity 4)
Au  0.2500  0.2500  0.2500 (multiplicity 8)

***

Number 1: energy -6.42 eV/atom, total magnetic moment 29.05 μB per cell, ΔH_f (0 K) -0.4108 eV per atom. Number 2: energy -6.56 eV/atom, total magnetic moment 14.48 μB per cell, ΔH_f (0 K) -0.5480 eV per atom. Number 3: energy -6.41 eV/atom, total magnetic moment 7.18 μB per cell, ΔH_f (0 K) -0.4003 eV per atom. Number 4: energy -7.11 eV/atom, total magnetic moment 45.48 μB per cell, ΔH_f (0 K) -0.0334 eV per atom. Number 5: energy -7.38 eV/atom, total magnetic moment 14.99 μB per cell, ΔH_f (0 K) -0.3080 eV per atom. Number 6: energy -5.35 eV/atom, total magnetic moment 28.49 μB per cell, ΔH_f (0 K) -0.5247 eV per atom. Number 7: energy -5.97 eV/atom, total magnetic moment 42.87 μB per cell, ΔH_f (0 K) -0.1911 eV per atom. Number 8: energy -6.60 eV/atom, total magnetic moment 28.22 μB per cell, ΔH_f (0 K) -0.7806 eV per atom.